Entry one
This record from Alexandria describes a relaxed Sr2LaFe crystal. The functional is PBE.

a = 4.9154 Å, b = 4.9154 Å, c = 5.6817 Å
α = 90.00°, β = 90.00°, γ = 90.00°
Space group P4/mmm (No. 123)
Unique sites:
Sr  0.0000  0.5000  0.0000 (multiplicity 2)
La  0.0000  0.0000  0.5000 (multiplicity 1)
Fe  0.5000  0.5000  0.5000 (multiplicity 1)

***

Entry two
This record from Alexandria describes a relaxed Sr2LaFe crystal. The functional is PBE.

a = 5.6571 Å, b = 5.6571 Å, c = 8.3762 Å
α = 90.00°, β = 90.00°, γ = 90.00°
Space group I-4m2 (No. 119)
Unique sites:
Sr  0.0000  0.0000  0.0000 (multiplicity 2)
Sr  0.0000  0.5000  0.2500 (multiplicity 2)
La  0.0000  0.0000  0.5000 (multiplicity 2)
Fe  0.0000  0.5000  0.7500 (multiplicity 2)

***

Which of them is most stable, and which least? Most stable: entry one; least stable: entry two.

***

Entry one
This record from Alexandria describes a relaxed Sr2LaFe crystal. The functional is PBE.

a = 3.7926 Å, b = 3.7926 Å, c = 9.9687 Å
α = 90.00°, β = 90.00°, γ = 90.00°
Space group P4mm (No. 99)
Unique sites:
Sr  0.0000  0.0000  0.0000 (multiplicity 1)
Sr  0.5000  0.5000  0.3417 (multiplicity 1)
La  0.5000  0.5000  0.6879 (multiplicity 1)
Fe  0.0000  0.0000  0.5501 (multiplicity 1)

***

Entry two
This record from Alexandria describes a relaxed Sr2LaFe crystal. The functional is PBE.

a = 3.8757 Å, b = 3.8757 Å, c = 33.8522 Å
α = 90.00°, β = 90.00°, γ = 120.00°
Space group R-3m (No. 166, hexagonal axes)
Unique sites:
Sr  0.0000  0.0000  0.2317 (multiplicity 6)
La  0.0000  0.0000  0.0000 (multiplicity 3)
Fe  0.0000  0.0000  0.5000 (multiplicity 3)

***

Entry three
This record from Alexandria describes a relaxed Sr2LaFe crystal. The functional is PBE.

a = 3.6140 Å, b = 4.4132 Å, c = 18.6460 Å
α = 90.00°, β = 90.00°, γ = 90.00°
Space group Immm (No. 71)
Unique sites:
Sr  0.0000  0.0000  0.1605 (multiplicity 4)
La  0.0000  0.5000  0.0000 (multiplicity 2)
Fe  0.0000  0.5000  0.5000 (multiplicity 2)

***

Which of them is most stable, and which least? Most stable: entry one; least stable: entry two.

***

Entry one
This record from Alexandria describes a relaxed La2TaFe2 crystal. The functional is PBE.

a = 4.1312 Å, b = 4.1312 Å, c = 12.1154 Å
α = 90.00°, β = 90.00°, γ = 90.00°
Space group I4/mmm (No. 139)
Unique sites:
La  0.0000  0.5000  0.2500 (multiplicity 4)
Ta  0.0000  0.0000  0.0000 (multiplicity 2)
Fe  0.0000  0.0000  0.4180 (multiplicity 4)

***

Entry two
This record from Alexandria describes a relaxed La2TaFe2 crystal. The functional is PBE.

a = 6.5746 Å, b = 6.5746 Å, c = 4.9099 Å
α = 90.00°, β = 90.00°, γ = 90.00°
Space group P4/mbm (No. 127)
Unique sites:
La  0.1788  0.3212  0.0000 (multiplicity 4)
Ta  0.0000  0.0000  0.5000 (multiplicity 2)
Fe  0.1257  0.6257  0.5000 (multiplicity 4)

***

Which of them is most stable, and which least? Most stable: entry two; least stable: entry one.

***

Entry one
This record from Alexandria describes a relaxed LaTaFe3 crystal. The functional is PBE.

a = 4.4490 Å, b = 4.4490 Å, c = 4.4490 Å
α = 90.00°, β = 90.00°, γ = 90.00°
Space group Pm-3m (No. 221)
Unique sites:
La  0.0000  0.0000  0.0000 (multiplicity 1)
Ta  0.5000  0.5000  0.5000 (multiplicity 1)
Fe  0.0000  0.0000  0.5000 (multiplicity 3)

***

Entry two
This record from Alexandria describes a relaxed LaTaFe3 crystal. The functional is PBE.

a = 4.6864 Å, b = 4.6864 Å, c = 4.6864 Å
α = 90.00°, β = 90.00°, γ = 90.00°
Space group Pm-3m (No. 221)
Unique sites:
La  0.0000  0.0000  0.0000 (multiplicity 1)
Ta  0.5000  0.5000  0.5000 (multiplicity 1)
Fe  0.0000  0.5000  0.5000 (multiplicity 3)

***

Which of them is most stable, and which least? Most stable: entry two; least stable: entry one.

***

Entry one
This record from Alexandria describes a relaxed LaTb2Fe crystal. The functional is PBE.

a = 3.3886 Å, b = 3.3886 Å, c = 9.3433 Å
α = 90.00°, β = 90.00°, γ = 90.00°
Space group P4/mmm (No. 123)
Unique sites:
La  0.0000  0.0000  0.0000 (multiplicity 1)
Tb  0.5000  0.5000  0.3278 (multiplicity 2)
Fe  0.0000  0.0000  0.5000 (multiplicity 1)

***

Entry two
This record from Alexandria describes a relaxed LaTb2Fe crystal. The functional is PBE.

a = 3.5153 Å, b = 3.5153 Å, c = 32.1174 Å
α = 90.00°, β = 90.00°, γ = 120.00°
Space group R-3m (No. 166, hexagonal axes)
Unique sites:
La  0.0000  0.0000  0.0000 (multiplicity 3)
Tb  0.0000  0.0000  0.1095 (multiplicity 6)
Fe  0.0000  0.0000  0.5000 (multiplicity 3)

***

Which of them is most stable, and which least? Most stable: entry one; least stable: entry two.

***

Entry one
This record from Alexandria describes a relaxed LaTbFe crystal. The functional is PBE.

a = 7.1171 Å, b = 12.2252 Å, c = 7.3943 Å
α = 90.00°, β = 90.00°, γ = 90.00°
Space group Cmce (No. 64)
Unique sites:
La  0.0000  0.2006  0.1132 (multiplicity 8)
Tb  0.2500  0.0377  0.7500 (multiplicity 8)
Fe  0.0000  0.0910  0.4590 (multiplicity 8)

***

Entry two
This record from Alexandria describes a relaxed LaTbFe crystal. The functional is PBE.

a = 3.4479 Å, b = 3.4479 Å, c = 13.2108 Å
α = 90.00°, β = 90.00°, γ = 90.00°
Space group I4mm (No. 107)
Unique sites:
La  0.0000  0.0000  0.0000 (multiplicity 2)
Tb  0.0000  0.0000  0.7509 (multiplicity 2)
Fe  0.0000  0.0000  0.3697 (multiplicity 2)

***

Which of them is most stable, and which least? Most stable: entry one; least stable: entry two.